Li5V2Ni3O10 (GGA+U, optimized geometry); total DFT energy (no corrections) = -5.85 eV per atom
1.0
5.1013 0.0000 0.0000
0.9224 5.0264 0.0000
2.4568 2.1008 7.0592
Li V Ni O
5 2 3 10
Direct
0.0000 0.0000 0.0000
0.0945 0.5133 0.2960
0.1901 0.0169 0.5972
0.3853 0.0045 0.1978
0.8098 0.0037 0.4016
0.4914 0.5221 0.4962
0.6956 0.4901 0.1076
0.2911 0.5149 0.8982
0.5920 0.0088 0.7984
0.8976 0.5075 0.6969
0.0160 0.2783 0.1400
0.1728 0.7405 0.4550
0.2580 0.2733 0.7372
0.3757 0.7442 0.0456
0.4653 0.2875 0.3315
0.5463 0.7509 0.6448
0.6432 0.2754 0.9588
0.7316 0.7277 0.2479
0.8130 0.2741 0.5504
0.9198 0.7406 0.8699